[1]
DFT (meta-GGA SCAN) results for a crystal of Na5OsO6 relaxed with PBEsol.

Computed properties:
N(E_F)	1.914	states/eV per cell
symmetry	C2/m
magnetization	1.02	Bohr magnetons per cell
formation energy without anion corrections	-1.593	eV per atom

Cell and atoms, written as CIF:
```
data_Na5OsO6
_space_group_name_H-M_alt 'P 1'
_space_group_IT_number 1
_cell_length_a 5.5770
_cell_length_b 5.6226
_cell_length_c 5.6226
_cell_angle_alpha 119.54
_cell_angle_beta 100.25
_cell_angle_gamma 100.25
loop_
_space_group_symop_operation_xyz
'x,y,z'
loop_
_atom_site_label
_atom_site_fract_x
_atom_site_fract_y
_atom_site_fract_z
_atom_site_occupancy
Na1 0.0000 0.3333 0.6667 1
Na2 0.5000 0.8265 0.1735 1
Na3 0.5000 0.5000 0.5000 1
Na4 0.0000 0.6667 0.3333 1
Na5 0.5000 0.1735 0.8265 1
Os1 0.0000 0.0000 0.0000 1
O1 0.2056 0.7963 0.7963 1
O2 0.7944 0.2037 0.2037 1
O3 0.2158 0.3506 0.0709 1
O4 0.7842 0.9291 0.6494 1
O5 0.7842 0.6494 0.9291 1
O6 0.2158 0.0709 0.3506 1
```

---

[2]
DFT (meta-GGA SCAN) results for a crystal of NaOsO3 relaxed with PBEsol.

Computed properties:
N(E_F)	1.794	states/eV per cell
symmetry	Pm-3m
magnetization	0.00	Bohr magnetons per cell
formation energy without anion corrections	-1.283	eV per atom

Cell and atoms, written as CIF:
```
data_NaOsO3
_space_group_name_H-M_alt 'P 1'
_space_group_IT_number 1
_cell_length_a 3.8394
_cell_length_b 3.8394
_cell_length_c 3.8394
_cell_angle_alpha 90.00
_cell_angle_beta 90.00
_cell_angle_gamma 90.00
loop_
_space_group_symop_operation_xyz
'x,y,z'
loop_
_atom_site_label
_atom_site_fract_x
_atom_site_fract_y
_atom_site_fract_z
_atom_site_occupancy
Na1 0.5000 0.5000 0.5000 1
Os1 0.0000 0.0000 0.0000 1
O1 0.0000 0.5000 0.0000 1
O2 0.0000 0.0000 0.5000 1
O3 0.5000 0.0000 0.0000 1
```

---

[3]
DFT (meta-GGA SCAN) results for a crystal of Na2OsO relaxed with PBEsol.

Computed properties:
N(E_F)	2.612	states/eV per cell
symmetry	I-42d
magnetization	0.00	Bohr magnetons per cell
formation energy without anion corrections	-0.129	eV per atom

Cell and atoms, written as CIF:
```
data_Na2OsO
_space_group_name_H-M_alt 'P 1'
_space_group_IT_number 1
_cell_length_a 3.7075
_cell_length_b 7.1230
_cell_length_c 7.1230
_cell_angle_alpha 86.12
_cell_angle_beta 74.92
_cell_angle_gamma 74.92
loop_
_space_group_symop_operation_xyz
'x,y,z'
loop_
_atom_site_label
_atom_site_fract_x
_atom_site_fract_y
_atom_site_fract_z
_atom_site_occupancy
Na1 0.8750 0.8210 0.6790 1
Na2 0.3750 0.1790 0.3210 1
Na3 0.4460 0.6790 0.1790 1
Na4 0.3040 0.3210 0.8210 1
Os1 0.0000 0.0000 0.0000 1
Os2 0.7500 0.5000 0.5000 1
O1 0.5000 0.0000 0.0000 1
O2 0.2500 0.5000 0.5000 1
```

---

[4]
DFT (meta-GGA SCAN) results for a crystal of NaOsO3 relaxed with PBEsol.

Computed properties:
N(E_F)	13.871	states/eV per cell
symmetry	Pnma
magnetization	0.00	Bohr magnetons per cell
formation energy without anion corrections	-1.315	eV per atom

Cell and atoms, written as CIF:
```
data_NaOsO3
_space_group_name_H-M_alt 'P 1'
_space_group_IT_number 1
_cell_length_a 5.3207
_cell_length_b 5.3786
_cell_length_c 7.5516
_cell_angle_alpha 90.00
_cell_angle_beta 90.00
_cell_angle_gamma 90.00
loop_
_space_group_symop_operation_xyz
'x,y,z'
loop_
_atom_site_label
_atom_site_fract_x
_atom_site_fract_y
_atom_site_fract_z
_atom_site_occupancy
Na1 0.9891 0.0358 0.7500 1
Na2 0.0109 0.9642 0.2500 1
Na3 0.5109 0.5358 0.7500 1
Na4 0.4891 0.4642 0.2500 1
Os1 0.5000 0.0000 0.5000 1
Os2 0.5000 0.0000 0.0000 1
Os3 0.0000 0.5000 0.0000 1
Os4 0.0000 0.5000 0.5000 1
O1 0.0857 0.4917 0.7500 1
O2 0.9143 0.5083 0.2500 1
O3 0.4143 0.9917 0.7500 1
O4 0.5857 0.0083 0.2500 1
O5 0.7112 0.2875 0.5414 1
O6 0.2888 0.7125 0.0414 1
O7 0.2888 0.7125 0.4586 1
O8 0.7112 0.2875 0.9586 1
O9 0.7888 0.7875 0.9586 1
O10 0.2112 0.2125 0.4586 1
O11 0.2112 0.2125 0.0414 1
O12 0.7888 0.7875 0.5414 1
```